Entry 1:
An optimized crystal structure of Sr3Tl2SnPb3. Source: Alexandria via LeMat-Bulk, functional PBE.

Lattice parameters (Å, degrees): 8.8037 8.8037 4.5443 90.00 90.00 120.00
With the nearest neighbours (Å) after each atom.
Space group P-62m (No. 189)
One atom of each set of equivalent atoms:
Sr 0.0000 0.3920 0.0000  1 Sn 3.45, 4 Tl 3.54, 6 Pb 3.80-3.82
Tl 0.3333 0.6667 0.5000  3 Pb 3.31, 6 Sr 3.54
Sn 0.0000 0.0000 0.0000  6 Pb 3.22, 3 Sr 3.45
Pb 0.0000 0.7408 0.5000  2 Sn 3.22, 2 Tl 3.31

Energy relative to the elements ... -0.3611 eV per atom
Total energy ... -3.128 eV per atom

***

Entry 2:
An optimized crystal structure of PrEr4Sc4. Source: Alexandria via LeMat-Bulk, functional PBE.

Lattice parameters (Å, degrees): 6.7703 6.7703 11.7783 90.00 90.00 90.00
With the nearest neighbours (Å) after each atom.
Space group P4_2/nmc (No. 137, origin choice 2)
One atom of each set of equivalent atoms:
Pr 0.2500 0.7500 0.2500  4 Er 3.68, 8 Sc 3.76
Er 0.0094 0.2500 0.0245  4 Er 3.26-3.51, 5 Sc 3.26-3.38
Sc 0.0308 0.2500 0.3074  3 Sc 2.97-3.01, 2 Er 3.26

Offset from the most stable computed form ... 1.87 eV per formula unit
Energy relative to the elements ... 0.2656 eV per atom
Total energy ... -5.107 eV per atom

***

Entry 3:
An optimized crystal structure of CeDy6In5. Source: Alexandria via LeMat-Bulk, functional PBE.

Lattice parameters (Å, degrees): 10.4909 11.1264 6.1097 90.00 103.43 90.00
With the nearest neighbours (Å) after each atom.
Space group C2/m (No. 12)
One atom of each set of equivalent atoms:
Ce 0.0000 0.0000 0.0000  6 In 3.41-3.44, 6 Dy 3.47-3.51
Dy 0.2279 0.5000 0.2311  5 In 3.20-3.34, 1 Ce 3.47
Dy 0.2299 0.3237 0.7385  5 In 3.19-3.50, 2 Dy 3.45-3.53, 1 Ce 3.51
In 0.0000 0.1413 0.5000  1 In 3.14, 6 Dy 3.23-3.50, 2 Ce 3.44
In 0.0000 0.3064 0.0000  6 Dy 3.19-3.28, 1 Ce 3.41, 2 In 3.56
In 0.0000 0.5000 0.5000  6 Dy 3.19-3.20

Energy relative to the elements ... -0.2375 eV per atom
Total energy ... -4.174 eV per atom

***

Entry 4:
An optimized crystal structure of Li3AlAu4. Source: Alexandria via LeMat-Bulk, functional PBE.

Lattice parameters (Å, degrees): 5.5627 9.4049 5.0424 90.00 90.00 90.00
With the nearest neighbours (Å) after each atom.
Space group Imm2 (No. 44)
One atom of each set of equivalent atoms:
Li 0.0000 0.0000 0.0000  2 Li 2.63, 4 Au 2.76-2.78, 2 Al 2.78
Li 0.0000 0.2523 0.7773  4 Au 2.50-2.78, 1 Li 2.63, 1 Al 2.77
Al 0.0000 0.5000 0.4805  2 Au 2.52, 4 Li 2.77-2.78
Au 0.0000 0.2545 0.2822  5 Li 2.50-2.78, 1 Al 2.52
Au 0.2501 0.0000 0.4724  4 Li 2.76-3.00, 4 Au 2.78-2.93, 2 Al 2.84-2.91

Offset from the most stable computed form ... 1.44 eV per formula unit
Energy relative to the elements ... -0.3654 eV per atom
Total energy ... -3.190 eV per atom

***

Entry 5:
An optimized crystal structure of CrFe2C. Source: Alexandria via LeMat-Bulk, functional PBE.

Lattice parameters (Å, degrees): 4.8085 4.8085 8.2913 90.00 90.00 90.00
With the nearest neighbours (Å) after each atom.
Space group I-42d (No. 122)
One atom of each set of equivalent atoms:
Cr 0.0000 0.0000 0.0000  4 Fe 2.21
Fe 0.1813 0.2500 0.6250  2 C 1.81
C 0.0000 0.0000 0.5000  4 Fe 1.81

Energy relative to the elements ... 0.7848 eV per atom
Total energy ... -8.158 eV per atom

***

Entry 6:
An optimized crystal structure of BeCoSe2. Source: Alexandria via LeMat-Bulk, functional PBE.

Lattice parameters (Å, degrees): 7.3672 3.2901 6.1710 90.00 100.85 90.00
With the nearest neighbours (Å) after each atom.
Space group Cm (No. 8)
One atom of each set of equivalent atoms:
Be 0.0000 0.0000 0.0000  3 Co 2.11-2.34, 3 Se 2.13-2.32
Co 0.2705 0.0000 0.9349  3 Be 2.11-2.34
Se 0.0358 0.5000 0.7457  2 Be 2.32, 3 Co 2.46-2.51
Se 0.3058 0.5000 0.2158  1 Be 2.13, 2 Co 2.37

Uncorrected formation energy ... -215 meV per atom
Total energy ... -4.665 eV per atom

***

Entry 7:
An optimized crystal structure of YCd2SiF. Source: Alexandria via LeMat-Bulk, functional PBE.

Lattice parameters (Å, degrees): 4.7824 4.7824 4.6597 90.00 90.00 90.00
With the nearest neighbours (Å) after each atom.
Space group P4/mmm (No. 123)
One atom of each set of equivalent atoms:
Y 0.0000 0.0000 0.0000  8 Cd 3.34, 4 Si 3.38
Cd 0.0000 0.5000 0.5000  2 F 2.39
Si 0.5000 0.5000 0.0000  2 F 2.33
F 0.5000 0.5000 0.5000  2 Si 2.33, 4 Cd 2.39

Uncorrected formation energy ... -412 meV per atom
Total energy ... -3.530 eV per atom

***

Entry 8:
An optimized crystal structure of SrCePdSe4. Source: Alexandria via LeMat-Bulk, functional PBE.

Lattice parameters (Å, degrees): 6.2590 15.0317 7.9017 90.00 90.00 90.00
With the nearest neighbours (Å) after each atom.
Space group Cmcm (No. 63)
One atom of each set of equivalent atoms:
Sr 0.0000 0.1076 0.2500  7 Se 2.98-3.31
Ce 0.0000 0.3740 0.2500  7 Se 2.84-3.17
Pd 0.0000 0.2593 0.7500  6 Se 2.52-2.67
Se 0.0000 0.0905 0.7500  1 Pd 2.54
Se 0.0000 0.4369 0.7500  1 Pd 2.67, 1 Ce 2.84
Se 0.2500 0.2500 0.0000  2 Pd 2.52

Uncorrected formation energy ... -1173 meV per atom
Total energy ... -4.994 eV per atom

***

Entry 9:
An optimized crystal structure of DyScBiO2. Source: Alexandria via LeMat-Bulk, functional PBE.

Lattice parameters (Å, degrees): 3.7865 3.7865 13.2414 90.00 90.00 90.00
With the nearest neighbours (Å) after each atom.
Space group I4mm (No. 107)
One atom of each set of equivalent atoms:
Dy 0.0000 0.0000 0.0000  4 O 2.23
Sc 0.0000 0.0000 0.6580  4 O 2.10
Bi 0.0000 0.0000 0.3273  4 Sc 3.49, 4 Dy 3.52, 4 O 3.68, 4 Bi 3.79
O 0.0000 0.5000 0.0889  2 Sc 2.10, 2 Dy 2.23

Uncorrected formation energy ... -2591 meV per atom
Total energy ... -7.537 eV per atom

***

Entry 10:
An optimized crystal structure of Y2Zr2Tl. Source: Alexandria via LeMat-Bulk, functional PBE.

Lattice parameters (Å, degrees): 7.7522 7.7522 4.5485 90.00 90.00 90.00
With the nearest neighbours (Å) after each atom.
Space group P4/mbm (No. 127)
One atom of each set of equivalent atoms:
Y 0.1601 0.3399 0.0000  6 Zr 3.18-3.24, 1 Y 3.51
Zr 0.1370 0.6370 0.5000  1 Zr 3.00, 2 Tl 3.01, 6 Y 3.18-3.24
Tl 0.0000 0.0000 0.5000  4 Zr 3.01

Energy relative to the elements ... 0.0516 eV per atom
Total energy ... -6.427 eV per atom

***

Entry 11:
An optimized crystal structure of CeDy8Tm2. Source: Alexandria via LeMat-Bulk, functional PBE.

Lattice parameters (Å, degrees): 18.0224 4.9912 7.8938 90.00 105.24 90.00
With the nearest neighbours (Å) after each atom.
Space group C2/m (No. 12)
One atom of each set of equivalent atoms:
Ce 0.0000 0.0000 0.0000  12 Dy 3.51-3.53
Dy 0.0453 0.5000 0.7303  2 Ce 3.51, 9 Dy 3.51-3.57, 1 Tm 3.57
Dy 0.0912 0.0000 0.4548  3 Tm 3.51-3.54, 8 Dy 3.52-3.55, 1 Ce 3.53
Dy 0.1365 0.5000 0.1822  7 Dy 3.51-3.55, 3 Tm 3.52-3.53, 2 Ce 3.53
Dy 0.1808 0.0000 0.9083  8 Dy 3.52-3.56, 1 Ce 3.52, 3 Tm 3.53-3.54
Tm 0.2284 0.5000 0.6366  10 Dy 3.51-3.57, 2 Tm 3.52

Offset from the most stable computed form ... 0.00 eV per formula unit
Energy relative to the elements ... 0.0385 eV per atom
Total energy ... -4.661 eV per atom

***

Entry 12:
An optimized crystal structure of RbBe3B. Source: Alexandria via LeMat-Bulk, functional PBE.

Lattice parameters (Å, degrees): 4.0760 4.0760 4.0760 90.00 90.00 90.00
With the nearest neighbours (Å) after each atom.
Space group Pm-3m (No. 221)
One atom of each set of equivalent atoms:
Rb 0.0000 0.0000 0.0000  12 Be 2.88
Be 0.0000 0.5000 0.5000  2 B 2.04
B 0.5000 0.5000 0.5000  6 Be 2.04

Offset from the most stable computed form ... 0.00 eV per formula unit
Energy relative to the elements ... 0.9935 eV per atom
Total energy ... -2.771 eV per atom

***

Entry 13:
An optimized crystal structure of Li2NdPaTe4. Source: Alexandria via LeMat-Bulk, functional PBE.

Lattice parameters (Å, degrees): 7.5727 4.3242 7.6009 90.00 109.09 90.00
With the nearest neighbours (Å) after each atom.
Space group P2/m (No. 10)
One atom of each set of equivalent atoms:
Li 0.0000 0.0000 0.0000  6 Te 3.05-3.07
Li 0.5000 0.5000 0.0000  6 Te 3.00
Nd 0.0000 0.5000 0.5000  6 Te 3.17-3.18
Pa 0.5000 0.0000 0.5000  6 Te 3.11-3.13
Te 0.2504 0.5000 0.2365  3 Li 3.00-3.05, 2 Pa 3.13, 1 Nd 3.18
Te 0.2621 0.0000 0.7648  3 Li 3.00-3.07, 1 Pa 3.11, 2 Nd 3.17

Uncorrected formation energy ... -1057 meV per atom
Total energy ... -4.889 eV per atom

***

Entry 14:
An optimized crystal structure of Pa5Tc2Sn2. Source: Alexandria via LeMat-Bulk, functional PBE.

Lattice parameters (Å, degrees): 15.3541 7.3195 8.0925 90.00 90.00 90.00
With the nearest neighbours (Å) after each atom.
Space group Cmce (No. 64)
One atom of each set of equivalent atoms:
Pa 0.0000 0.0000 0.0000  2 Tc 2.67
Pa 0.1178 0.1578 0.3252  3 Tc 2.80-2.99
Tc 0.0000 0.1598 0.6191  7 Pa 2.67-2.99
Sn 0.2132 0.0000 0.0000  7 Pa 3.17-3.27

Energy relative to the elements ... -0.1464 eV per atom
Total energy ... -8.615 eV per atom

***

Entry 15:
An optimized crystal structure of CuC3Se. Source: Alexandria via LeMat-Bulk, functional PBE.

Lattice parameters (Å, degrees): 3.9168 3.9168 3.9168 90.00 90.00 90.00
With the nearest neighbours (Å) after each atom.
Space group Pm-3m (No. 221)
One atom of each set of equivalent atoms:
Cu 0.0000 0.0000 0.0000  6 C 1.96
C 0.0000 0.0000 0.5000  2 Cu 1.96
Se 0.5000 0.5000 0.5000  12 C 2.77

Offset from the most stable computed form ... 0.00 eV per formula unit
Uncorrected formation energy ... 2833 meV per atom
Total energy ... -4.218 eV per atom

***

Entry 16:
An optimized crystal structure of HoCo22B6. Source: Alexandria via LeMat-Bulk, functional PBE.

Lattice parameters (Å, degrees): 10.5471 10.5471 10.5471 90.00 90.00 90.00
With the nearest neighbours (Å) after each atom.
Space group Fm-3m (No. 225)
One atom of each set of equivalent atoms:
Ho 0.0000 0.0000 0.0000  12 Co 2.60, 6 B 2.88
Co 0.0000 0.1743 0.1743  2 B 2.11, 1 Co 2.26
Co 0.1186 0.1186 0.3814  3 B 2.11
Co 0.2500 0.2500 0.2500  4 Co 2.40
B 0.0000 0.0000 0.2727  8 Co 2.11

Energy relative to the elements ... -0.1159 eV per atom
Total energy ... -7.046 eV per atom

***

Entry 17:
An optimized crystal structure of Li3BiPb. Source: Alexandria via LeMat-Bulk, functional PBE.

Lattice parameters (Å, degrees): 4.9531 4.9229 9.2999 90.00 105.22 90.00
With the nearest neighbours (Å) after each atom.
Space group P2_1/m (No. 11)
One atom of each set of equivalent atoms:
Li 0.0402 0.2500 0.0808  4 Li 2.86-2.88, 3 Bi 3.00-3.17, 2 Pb 3.01-3.02
Li 0.2495 0.2500 0.4996  4 Bi 3.20-3.22, 4 Pb 3.20-3.21, 4 Li 3.49
Li 0.4591 0.2500 0.9175  4 Li 2.87-2.88, 3 Pb 3.00-3.19, 2 Bi 3.00-3.01
Bi 0.1354 0.7500 0.2723  9 Li 3.00-3.22
Pb 0.3639 0.7500 0.7272  9 Li 3.00-3.21

Offset from the most stable computed form ... 0.18 eV per formula unit
Energy relative to the elements ... -0.3368 eV per atom
Total energy ... -3.003 eV per atom

***

Entry 18:
An optimized crystal structure of CeBeC2O8. Source: Alexandria via LeMat-Bulk, functional PBE.

Lattice parameters (Å, degrees): 9.3609 4.5501 5.8508 90.00 117.39 90.00
With the nearest neighbours (Å) after each atom.
Space group C2/m (No. 12)
One atom of each set of equivalent atoms:
Ce 0.0000 0.0000 0.0000  2 O 2.26
Be 0.0000 0.5000 0.5000  4 O 1.73
C 0.1920 0.0000 0.6722  4 O 1.36-1.41
O 0.1170 0.2415 0.7249  1 C 1.41
O 0.1441 0.5000 0.1641  1 C 1.38
O 0.1710 0.0000 0.4268  1 C 1.36

Uncorrected formation energy ... -1491 meV per atom
Total energy ... -7.139 eV per atom

***

Entry 19:
An optimized crystal structure of CaPr2Nd9. Source: Alexandria via LeMat-Bulk, functional PBE.

Lattice parameters (Å, degrees): 5.2359 5.2359 15.6734 90.00 90.00 90.00
With the nearest neighbours (Å) after each atom.
Space group P4/mmm (No. 123)
One atom of each set of equivalent atoms:
Ca 0.0000 0.0000 0.0000  12 Nd 3.70-3.75
Pr 0.0000 0.0000 0.3329  12 Nd 3.65-3.70
Nd 0.0000 0.5000 0.1709  2 Pr 3.65, 8 Nd 3.65-3.75, 2 Ca 3.75
Nd 0.0000 0.5000 0.5000  8 Nd 3.70, 4 Pr 3.70
Nd 0.5000 0.5000 0.0000  4 Ca 3.70, 8 Nd 3.75
Nd 0.5000 0.5000 0.3332  8 Nd 3.65-3.70, 4 Pr 3.70

Energy relative to the elements ... 0.0315 eV per atom
Total energy ... -4.508 eV per atom

***

Entry 20:
An optimized crystal structure of NaCoB3. Source: Alexandria via LeMat-Bulk, functional PBE.

Lattice parameters (Å, degrees): 4.1047 4.1047 4.1047 90.00 90.00 90.00
With the nearest neighbours (Å) after each atom.
Space group Pm-3m (No. 221)
One atom of each set of equivalent atoms:
Na 0.0000 0.0000 0.0000  6 B 2.05
Co 0.5000 0.5000 0.5000  12 B 2.90
B 0.0000 0.0000 0.5000  2 Na 2.05

Offset from the most stable computed form ... 12.24 eV per formula unit
Energy relative to the elements ... 3.1201 eV per atom
Total energy ... -2.571 eV per atom

***

Asked for DOS(E_F) across the records above, the calculation gives 4.27; 15.94; 16.88; 2.82; 2.04; 3.03; 1.98; 6.71; 1.34; 5.19; 17.34; 1.56; 7.29; 12.77; 3.78; 30.13; 1.23; 5.48; 19.58; 4.86 states/eV/f.u. in order.